# LiCoPO4

A relaxed structure of LiCoPO4 (PBE with a Hubbard U, the Alexandria database).

a b c (Å): 5.2872 5.2872 12.6460
angles (deg): 90.00 90.00 120.00
With the nearest neighbours (Å) after each atom.
Positions (direct):
Li 0.0000 0.0000 0.0000  4 O 2.04
Li 0.0000 0.0000 0.3333  4 O 2.04
Li 0.0000 0.0000 0.6667  4 O 2.04
Co 0.0000 0.5000 0.1667  4 O 1.95
Co 0.5000 0.0000 0.5000  4 O 1.95
Co 0.5000 0.5000 0.8333  4 O 1.95
P 0.0000 0.5000 0.6667  4 O 1.55
P 0.5000 0.0000 0.0000  4 O 1.55
P 0.5000 0.5000 0.3333  4 O 1.55
O 0.1804 0.4029 0.7349  1 P 1.55
O 0.1804 0.7775 0.5985  1 P 1.55
O 0.2225 0.4029 0.2651  1 P 1.55
O 0.2225 0.8196 0.0682  1 P 1.55
O 0.4029 0.1804 0.9318  1 P 1.55
O 0.4029 0.2225 0.4015  1 P 1.55
O 0.5971 0.7775 0.4015  1 P 1.55
O 0.5971 0.8196 0.9318  1 P 1.55
O 0.7775 0.1804 0.0682  1 P 1.55
O 0.7775 0.5971 0.2651  1 P 1.55
O 0.8196 0.2225 0.5985  1 P 1.55
O 0.8196 0.5971 0.7349  1 P 1.55

Results
raw total energy	-6.58	eV/atom
ΔE to the lowest computed polymorph	66	meV/atom